[1]
Density functional theory data (PBE) for a geometry-optimized CuAgSe2 structure. Values from VASP.

Properties
**Magnetic moment**: 0.00 μB/f.u.
**V**: 84.61 Å³ per cell
**Fermi-level density of states**: 0.78 states/eV per atom
**Total DFT energy (no corrections)**: -3.25 eV per atom

Quantum ESPRESSO input file:
```
&SYSTEM
  ibrav = 0, nat = 4, ntyp = 3
/
ATOMIC_SPECIES
Cu 63.55 Cu.upf
Se 78.96 Se.upf
Ag 107.87 Ag.upf
ATOMIC_POSITIONS crystal
Cu 0.7500 0.2500 0.5000
Se 0.0000 0.0000 0.0000
Se 0.2500 0.7500 0.5000
Ag 0.5000 0.5000 0.0000
CELL_PARAMETERS angstrom
6.8327 0.4260 0.0000
4.5894 5.0798 0.0000
-5.7111 -2.7529 2.5831
```

[2]
Density functional theory data (PBE) for a geometry-optimized Cu2Ag5Se4 structure. Values from VASP.

Properties
**Magnetic moment**: 0.00 μB/f.u.
**V**: 245.70 Å³ per cell
**Fermi-level density of states**: 0.42 states/eV per atom
**Total DFT energy (no corrections)**: -3.33 eV per atom

Quantum ESPRESSO input file:
```
&SYSTEM
  ibrav = 0, nat = 11, ntyp = 3
/
ATOMIC_SPECIES
Ag 107.87 Ag.upf
Se 78.96 Se.upf
Cu 63.55 Cu.upf
ATOMIC_POSITIONS crystal
Ag 0.8335 0.0330 0.6670
Ag 0.1795 0.5054 0.3591
Ag 0.1665 0.9670 0.3330
Ag 0.8205 0.4946 0.6409
Ag 0.5000 0.0000 0.0000
Se 0.9819 0.7532 0.9640
Se 0.0181 0.2468 0.0360
Se 0.7178 0.7255 0.4360
Se 0.2822 0.2745 0.5640
Cu 0.5681 0.7405 0.1361
Cu 0.4319 0.2595 0.8639
CELL_PARAMETERS angstrom
3.9191 0.0005 -0.7404
-0.6178 7.9248 -3.2778
-0.5336 0.2055 7.9235
```

[3]
Density functional theory data (PBE) for a geometry-optimized CuAgSe2 structure. Values from VASP.

Properties
**Magnetic moment**: 0.00 μB/f.u.
**V**: 74.24 Å³ per cell
**Fermi-level density of states**: 0.81 states/eV per atom
**Total DFT energy (no corrections)**: -3.23 eV per atom

Quantum ESPRESSO input file:
```
&SYSTEM
  ibrav = 0, nat = 4, ntyp = 3
/
ATOMIC_SPECIES
Cu 63.55 Cu.upf
Se 78.96 Se.upf
Ag 107.87 Ag.upf
ATOMIC_POSITIONS crystal
Cu 0.5000 0.5000 0.7500
Se 0.0000 0.0000 0.5203
Se 0.0000 0.0000 0.9797
Ag 0.5000 0.5000 0.2500
CELL_PARAMETERS angstrom
3.6063 0.0000 0.0000
0.0000 3.5991 0.0000
0.0000 0.0000 5.7200
```

[4]
Density functional theory data (PBE) for a geometry-optimized CuAgSe structure. Values from VASP.

Properties
**Magnetic moment**: 0.00 μB/f.u.
**V**: 52.50 Å³ per cell
**Fermi-level density of states**: 0.34 states/eV per atom
**Total DFT energy (no corrections)**: -3.26 eV per atom

Quantum ESPRESSO input file:
```
&SYSTEM
  ibrav = 0, nat = 3, ntyp = 3
/
ATOMIC_SPECIES
Cu 63.55 Cu.upf
Se 78.96 Se.upf
Ag 107.87 Ag.upf
ATOMIC_POSITIONS crystal
Cu 0.3294 0.3294 0.6706
Se 0.6861 0.6861 0.3139
Ag 0.9845 0.9845 0.0155
CELL_PARAMETERS angstrom
-6.5384 -1.0458 -1.0940
-5.7568 -2.9351 1.0182
-1.4131 2.1669 1.3963
```

[5]
Density functional theory data (PBE) for a geometry-optimized CuAgSe structure. Values from VASP.

Properties
**Magnetic moment**: 0.00 μB/f.u.
**V**: 114.82 Å³ per cell
**Fermi-level density of states**: 0.12 states/eV per atom
**Total DFT energy (no corrections)**: -3.52 eV per atom

Quantum ESPRESSO input file:
```
&SYSTEM
  ibrav = 0, nat = 6, ntyp = 3
/
ATOMIC_SPECIES
Ag 107.87 Ag.upf
Se 78.96 Se.upf
Cu 63.55 Cu.upf
ATOMIC_POSITIONS crystal
Ag 0.5886 0.9593 0.1773
Ag 0.4114 0.0407 0.8227
Se 0.3183 0.3384 0.6366
Se 0.6817 0.6616 0.3634
Cu 0.8486 0.6248 0.6971
Cu 0.1514 0.3752 0.3029
CELL_PARAMETERS angstrom
3.9606 0.0000 0.0000
0.0000 6.3775 -1.7004
-1.9803 -4.1543 5.6535
```

[6]
Density functional theory data (PBE) for a geometry-optimized CuAg2Se structure. Values from VASP.

Properties
**Magnetic moment**: 0.00 μB/f.u.
**V**: 71.07 Å³ per cell
**Fermi-level density of states**: 0.81 states/eV per atom
**Total DFT energy (no corrections)**: -3.13 eV per atom

Quantum ESPRESSO input file:
```
&SYSTEM
  ibrav = 0, nat = 4, ntyp = 3
/
ATOMIC_SPECIES
Se 78.96 Se.upf
Ag 107.87 Ag.upf
Cu 63.55 Cu.upf
ATOMIC_POSITIONS crystal
Se 0.7500 0.7500 0.7500
Ag 0.0000 0.0000 0.0000
Ag 0.2500 0.2500 0.2500
Cu 0.5000 0.5000 0.5000
CELL_PARAMETERS angstrom
4.6494 0.0000 0.0000
2.3247 4.0265 0.0000
2.3247 1.3422 3.7962
```

[7]
Density functional theory data (PBE) for a geometry-optimized CuAgSe2 structure. Values from VASP.

Properties
**Magnetic moment**: 0.00 μB/f.u.
**V**: 88.70 Å³ per cell
**Fermi-level density of states**: 0.30 states/eV per atom
**Total DFT energy (no corrections)**: -3.50 eV per atom

Quantum ESPRESSO input file:
```
&SYSTEM
  ibrav = 0, nat = 4, ntyp = 3
/
ATOMIC_SPECIES
Se 78.96 Se.upf
Cu 63.55 Cu.upf
Ag 107.87 Ag.upf
ATOMIC_POSITIONS crystal
Se 0.3948 0.3948 0.0000
Se 0.1052 0.1052 0.0000
Cu 0.2500 0.7500 0.5000
Ag 0.7500 0.2500 0.5000
CELL_PARAMETERS angstrom
6.3028 0.0202 -0.0049
3.7507 5.0654 0.0049
-4.8053 -2.9806 2.7841
```

[8]
Density functional theory data (PBE) for a geometry-optimized CuAg2Se structure. Values from VASP.

Properties
**Magnetic moment**: 0.00 μB/f.u.
**V**: 69.13 Å³ per cell
**Fermi-level density of states**: 0.34 states/eV per atom
**Total DFT energy (no corrections)**: -3.22 eV per atom

Quantum ESPRESSO input file:
```
&SYSTEM
  ibrav = 0, nat = 4, ntyp = 3
/
ATOMIC_SPECIES
Ag 107.87 Ag.upf
Cu 63.55 Cu.upf
Se 78.96 Se.upf
ATOMIC_POSITIONS crystal
Ag 0.0000 0.0000 0.0000
Ag 0.5000 0.5000 0.0000
Cu 0.5000 0.0000 0.5000
Se 0.0000 0.5000 0.5000
CELL_PARAMETERS angstrom
4.0494 0.0000 0.0000
0.0000 4.0597 0.0000
0.0000 0.0000 4.2054
```

[9]
Density functional theory data (PBE) for a geometry-optimized CuAg2Se structure. Values from VASP.

Properties
**Magnetic moment**: 0.00 μB/f.u.
**V**: 70.41 Å³ per cell
**Fermi-level density of states**: 0.16 states/eV per atom
**Total DFT energy (no corrections)**: -3.10 eV per atom

Quantum ESPRESSO input file:
```
&SYSTEM
  ibrav = 0, nat = 4, ntyp = 3
/
ATOMIC_SPECIES
Cu 63.55 Cu.upf
Ag 107.87 Ag.upf
Se 78.96 Se.upf
ATOMIC_POSITIONS crystal
Cu 0.5000 0.0000 0.5000
Ag 0.0000 0.0000 0.0000
Ag 0.5000 0.5000 0.0000
Se 0.0000 0.5000 0.5000
CELL_PARAMETERS angstrom
-2.5264 1.8446 -4.2354
4.3100 -2.8651 -0.9691
-1.5735 -2.3399 -0.0804
```

[10]
Density functional theory data (PBE) for a geometry-optimized CuAgSe structure. Values from VASP.

Properties
**Magnetic moment**: 0.00 μB/f.u.
**V**: 129.74 Å³ per cell
**Fermi-level density of states**: 0.00 states/eV per atom
**Total DFT energy (no corrections)**: -3.55 eV per atom

Quantum ESPRESSO input file:
```
&SYSTEM
  ibrav = 0, nat = 6, ntyp = 3
/
ATOMIC_SPECIES
Se 78.96 Se.upf
Cu 63.55 Cu.upf
Ag 107.87 Ag.upf
ATOMIC_POSITIONS crystal
Se 0.1547 0.6903 0.0168
Se 0.7159 0.1788 0.4247
Cu 0.5885 0.6763 0.5484
Cu 0.9981 0.4553 0.6987
Ag 0.7551 0.9596 0.9539
Ag 0.3692 0.1774 0.7734
CELL_PARAMETERS angstrom
4.9126 -0.0080 0.0144
-1.8432 3.8498 -0.0254
1.2469 -1.6878 6.8780
```

[11]
Density functional theory data (PBE) for a geometry-optimized CuAgSe2 structure. Values from VASP.

Properties
**Magnetic moment**: 0.00 μB/f.u.
**V**: 79.08 Å³ per cell
**Fermi-level density of states**: 0.21 states/eV per atom
**Total DFT energy (no corrections)**: -3.32 eV per atom

Quantum ESPRESSO input file:
```
&SYSTEM
  ibrav = 0, nat = 4, ntyp = 3
/
ATOMIC_SPECIES
Ag 107.87 Ag.upf
Cu 63.55 Cu.upf
Se 78.96 Se.upf
ATOMIC_POSITIONS crystal
Ag 0.0000 0.0000 0.5360
Cu 0.5000 0.5000 0.7387
Se 0.0000 0.0000 0.9214
Se 0.5000 0.5000 0.3039
CELL_PARAMETERS angstrom
-0.3944 2.6767 0.9659
0.1240 -1.3429 2.5366
9.5895 1.3282 0.2345
```

[12]
Density functional theory data (PBE) for a geometry-optimized Cu2Ag3Se4 structure. Values from VASP.

Properties
**Excess energy over the best structure of this formula in the dataset**: 0 meV/atom
**Magnetic moment**: 0.00 μB/f.u.
**V**: 208.94 Å³ per cell
**Fermi-level density of states**: 0.66 states/eV per atom
**Total DFT energy (no corrections)**: -3.45 eV per atom

Quantum ESPRESSO input file:
```
&SYSTEM
  ibrav = 0, nat = 9, ntyp = 3
/
ATOMIC_SPECIES
Se 78.96 Se.upf
Cu 63.55 Cu.upf
Ag 107.87 Ag.upf
ATOMIC_POSITIONS crystal
Se 0.9222 0.8783 0.5981
Se 0.8319 0.3287 0.0949
Se 0.0778 0.1217 0.4019
Se 0.1681 0.6713 0.9051
Cu 0.4834 0.0579 0.6821
Cu 0.5166 0.9421 0.3179
Ag 0.3949 0.5543 0.1964
Ag 0.0000 0.0000 0.0000
Ag 0.6051 0.4457 0.8036
CELL_PARAMETERS angstrom
4.0178 -0.1301 -1.4322
-0.8947 7.5798 -3.6356
-1.0566 -1.2227 7.9219
```

[13]
Density functional theory data (PBE) for a geometry-optimized CuAg2Se structure. Values from VASP.

Properties
**Magnetic moment**: 0.00 μB/f.u.
**V**: 77.68 Å³ per cell
**Fermi-level density of states**: 0.12 states/eV per atom
**Total DFT energy (no corrections)**: -3.21 eV per atom

Quantum ESPRESSO input file:
```
&SYSTEM
  ibrav = 0, nat = 4, ntyp = 3
/
ATOMIC_SPECIES
Cu 63.55 Cu.upf
Ag 107.87 Ag.upf
Se 78.96 Se.upf
ATOMIC_POSITIONS crystal
Cu 0.4369 0.4369 0.4299
Ag 0.2138 0.2138 0.2741
Ag 0.0166 0.0166 0.0303
Se 0.8327 0.8327 0.7656
CELL_PARAMETERS angstrom
4.7333 -0.0003 0.4193
3.8832 2.7064 0.4193
2.0821 0.6539 6.2658
```

[14]
Density functional theory data (PBE) for a geometry-optimized CuAgSe structure. Values from VASP.

Properties
**Magnetic moment**: 0.00 μB/f.u.
**V**: 52.87 Å³ per cell
**Fermi-level density of states**: 0.53 states/eV per atom
**Total DFT energy (no corrections)**: -3.30 eV per atom

Quantum ESPRESSO input file:
```
&SYSTEM
  ibrav = 0, nat = 3, ntyp = 3
/
ATOMIC_SPECIES
Se 78.96 Se.upf
Cu 63.55 Cu.upf
Ag 107.87 Ag.upf
ATOMIC_POSITIONS crystal
Se 0.3333 0.6667 0.6287
Cu 0.6667 0.3333 0.3511
Ag 0.0000 0.0000 0.0202
CELL_PARAMETERS angstrom
3.1746 0.0000 0.0000
-1.5873 2.7493 0.0000
0.0000 0.0000 6.0571
```

For reference, formation energy from raw total energies by record: 0.233; -0.019; 0.249; 0.213; -0.039; 0.189; -0.025; 0.105; 0.216; -0.071; 0.157; -0.037; 0.106; 0.180 eV/atom.